Crystalline Mg2HgSe at its relaxed geometry. Source: Alexandria via LeMat-Bulk, functional PBE-GGA.

Cell: 5.0203 5.0280 6.6675 Å, 90.00 90.00 90.00°
Space group Cmmm (No. 65)
Asymmetric unit:
Mg (0.0000, 0.0000, 0.2366) (multiplicity 4)
Hg (0.0000, 0.5000, 0.5000) (multiplicity 2)
Se (0.0000, 0.5000, 0.0000) (multiplicity 2)

Calculated values
spin magnetization: 0.0 Bohr magnetons per cell
density of states at the Fermi level: 0.3746 states/eV/atom
crystal system: orthorhombic
ΔE_f (raw): -0.45 eV/atom